Record 1
A plane-wave DFT calculation with SCAN was carried out for LiIn2 at its PBEsol-relaxed geometry.

Results
Energy of formation (eV/atom): -0.198
Uncorrected energy (eV per atom): -23.25
N(E_F) (states/eV/f.u.): 0.95

abc: 4.7736 4.7736 3.3700
angles: 90.00 90.00 120.00
Last column: nearest neighbours and their distance in Å.
Space group P-3m1 (No. 164)
Asymmetric unit:
Li1 0.0000 0.0000 0.0000 x1  6 In 2.99
In1 0.3333 0.6667 0.6525 x2  3 In 2.94, 3 Li 2.99

=====

Record 2
A plane-wave DFT calculation with SCAN was carried out for Li4In5 at its PBEsol-relaxed geometry.

Results
Energy of formation (eV/atom): -0.262
Uncorrected energy (eV per atom): -19.87
N(E_F) (states/eV/f.u.): 2.55

abc: 8.3390 8.3390 6.0722
angles: 90.00 90.00 120.00
Last column: nearest neighbours and their distance in Å.
Space group P6_3/mcm (No. 193)
Asymmetric unit:
Li1 0.0000 0.0000 0.0000 x2  6 In 2.95, 2 Li 3.04
Li2 0.0000 0.3584 0.2500 x6  9 In 2.79-3.08
In1 0.0000 0.3037 0.7500 x6  7 Li 2.79-3.07
In2 0.3333 0.6667 0.0000 x4  8 In 3.04-3.28, 6 Li 3.08

=====

Record 3
A plane-wave DFT calculation with SCAN was carried out for Li13In3 at its PBEsol-relaxed geometry.

Results
Energy of formation (eV/atom): -0.256
Uncorrected energy (eV per atom): -8.46
N(E_F) (states/eV/f.u.): 2.00

abc: 13.1197 13.1197 13.1197
angles: 90.00 90.00 90.00
Last column: nearest neighbours and their distance in Å.
Space group Fd-3m (No. 227, origin choice 2)
Asymmetric unit:
Li1 0.0000 0.0000 0.0000 x16  6 Li 2.82, 2 In 2.84
Li2 0.0056 0.0056 0.7444 x32  7 Li 2.71-2.86, 1 In 2.97
Li3 0.1216 0.3750 0.3750 x48  6 Li 2.82-2.86, 2 In 2.87
Li4 0.1250 0.1250 0.6250 x8  4 Li 2.71, 4 In 2.84
In1 0.0000 0.0000 0.5000 x16  8 Li 2.84-2.87
In2 0.1250 0.1250 0.1250 x8  8 Li 2.84-2.97

=====

Record 4
A plane-wave DFT calculation with SCAN was carried out for LiIn2 at its PBEsol-relaxed geometry.

Results
Energy of formation (eV/atom): -0.215
Uncorrected energy (eV per atom): -23.27
N(E_F) (states/eV/f.u.): 0.80

abc: 3.3578 5.0303 7.8001
angles: 90.00 90.00 90.00
Last column: nearest neighbours and their distance in Å.
Space group Immm (No. 71)
Asymmetric unit:
Li1 0.0000 0.0000 0.0000 x2  8 In 2.92-2.95
In1 0.0000 0.5000 0.1895 x4  4 Li 2.92-2.95, 5 In 2.96-3.17